<A>
VASP calculation (SCAN) on Co2OsBr at its PBEsol-relaxed geometry.

Lattice parameters (Å, degrees): 3.3580 3.3580 7.7167 108.35 108.35 47.41
Last column: nearest neighbours and their distance in Å.
Element x y z (fractional)
Co: 0.1836 0.1836 0.2890  3 Os 2.28-2.47, 2 Br 2.52
Co: 0.8164 0.8164 0.7110  3 Os 2.28-2.47, 2 Br 2.52
Os: 0.0000 0.0000 0.5000  6 Co 2.28-2.47
Br: 0.5000 0.5000 0.0000  4 Co 2.52, 2 Br 2.70

Results
SG: No. 12
D(E_F), states/eV/f.u.: 4.33
V, Å³/atom: 15.04

***

<B>
VASP calculation (SCAN) on Co2OsBr at its PBEsol-relaxed geometry.

Lattice parameters (Å, degrees): 2.7015 2.7717 7.3696 90.00 90.00 90.00
Last column: nearest neighbours and their distance in Å.
Element x y z (fractional)
Co: 0.0000 0.0000 0.2192  2 Br 2.49, 4 Os 2.52, 4 Co 2.70-2.77
Co: 0.0000 0.0000 0.7808  2 Br 2.49, 4 Os 2.52, 4 Co 2.70-2.77
Os: 0.5000 0.5000 0.0000  8 Co 2.52, 4 Os 2.70-2.77
Br: 0.0000 0.5000 0.5000  4 Co 2.49, 4 Br 2.70-2.77

Results
SG: No. 47
D(E_F), states/eV/f.u.: 2.95
V, Å³/atom: 13.80

***

Q: What are the energies relative to the best structure? A: <A> 0.244; <B> 0.000, in eV/atom.

***

<A>
VASP calculation (SCAN) on CoOsBr2 at its PBEsol-relaxed geometry.

Lattice parameters (Å, degrees): 2.9090 4.1702 5.5819 90.00 90.00 90.00
Last column: nearest neighbours and their distance in Å.
Element x y z (fractional)
Co: 0.0000 0.0000 0.0000  4 Br 2.54
Os: 0.5000 0.0000 0.5000  4 Br 2.54
Br: 0.0000 0.5000 0.5000  4 Os 2.54
Br: 0.5000 0.5000 0.0000  4 Co 2.54

Results
SG: No. 47
D(E_F), states/eV/f.u.: 3.53
V, Å³/atom: 16.93

***

<B>
VASP calculation (SCAN) on CoOsBr2 at its PBEsol-relaxed geometry.

Lattice parameters (Å, degrees): 3.1192 3.1192 6.3092 90.00 90.00 90.00
Last column: nearest neighbours and their distance in Å.
Element x y z (fractional)
Co: 0.0000 0.0000 0.0000  8 Br 2.68
Os: 0.0000 0.0000 0.5000  8 Br 2.74
Br: 0.5000 0.5000 0.2417  4 Co 2.68, 4 Os 2.74
Br: 0.5000 0.5000 0.7583  4 Co 2.68, 4 Os 2.74

Results
SG: No. 123
D(E_F), states/eV/f.u.: 3.50
V, Å³/atom: 15.35

***

Q: What are the energies relative to the best structure? A: <A> 0.000; <B> 0.296, in eV/atom.

***

<A>
VASP calculation (SCAN) on CoP2Br at its PBEsol-relaxed geometry.

Lattice parameters (Å, degrees): 4.3413 4.3413 4.3413 60.00 60.00 60.00
Last column: nearest neighbours and their distance in Å.
Element x y z (fractional)
Co: 0.0000 0.0000 0.0000  8 P 2.66
P: 0.2500 0.2500 0.2500  4 Br 2.66, 4 Co 2.66
P: 0.7500 0.7500 0.7500  4 Co 2.66, 4 Br 2.66
Br: 0.5000 0.5000 0.5000  8 P 2.66

Results
SG: No. 225
D(E_F), states/eV/f.u.: 2.55
V, Å³/atom: 14.46

***

<B>
VASP calculation (SCAN) on CoP2Br at its PBEsol-relaxed geometry.

Lattice parameters (Å, degrees): 5.5782 5.5782 5.5782 150.80 133.51 55.85
Last column: nearest neighbours and their distance in Å.
Element x y z (fractional)
Co: 0.0000 0.0000 0.0000  4 P 2.34, 4 Br 2.61
P: 0.1892 0.6892 0.5000  2 Co 2.34
P: 0.8108 0.3108 0.5000  2 Co 2.34
Br: 0.5000 0.5000 0.0000  4 Co 2.61, 2 Br 2.81, 4 P 2.89

Results
SG: No. 71
D(E_F), states/eV/f.u.: 2.17
V, Å³/atom: 15.26

***

<C>
VASP calculation (SCAN) on CoP2Br at its PBEsol-relaxed geometry.

Lattice parameters (Å, degrees): 4.0314 4.0314 6.7912 109.36 109.36 47.15
Last column: nearest neighbours and their distance in Å.
Element x y z (fractional)
Co: 0.0000 0.0000 0.0000  5 P 2.16-2.35
P: 0.2676 0.2676 0.9401  1 P 2.07, 3 Co 2.16-2.28
P: 0.4124 0.4124 0.7302  1 P 2.07
Br: 0.6116 0.6116 0.2938  2 Co 2.46

Results
SG: No. 8
D(E_F), states/eV/f.u.: 1.21
V, Å³/atom: 18.86

***

Q: What are the energies relative to the best structure? A: <A> 1.294; <B> 0.696; <C> 0.000, in eV/atom.

***

<A>
VASP calculation (SCAN) on CoPtBr2 at its PBEsol-relaxed geometry.

Lattice parameters (Å, degrees): 4.6435 4.6435 4.6435 60.00 60.00 60.00
Last column: nearest neighbours and their distance in Å.
Element x y z (fractional)
Co: 0.0000 0.0000 0.0000  4 Pt 2.84, 4 Br 2.84
Pt: 0.7500 0.7500 0.7500  4 Br 2.84, 4 Co 2.84
Br: 0.2500 0.2500 0.2500  4 Br 2.84, 4 Co 2.84
Br: 0.5000 0.5000 0.5000  4 Br 2.84, 4 Pt 2.84

Results
SG: No. 216
D(E_F), states/eV/f.u.: 2.60
V, Å³/atom: 17.70

***

<B>
VASP calculation (SCAN) on CoPtBr2 at its PBEsol-relaxed geometry.

Lattice parameters (Å, degrees): 3.0997 3.0997 7.1001 90.00 90.00 90.00
Last column: nearest neighbours and their distance in Å.
Element x y z (fractional)
Co: 0.0000 0.0000 0.0000  8 Br 2.70
Pt: 0.0000 0.0000 0.5000  8 Br 2.95, 4 Pt 3.10
Br: 0.5000 0.5000 0.2229  4 Co 2.70, 4 Pt 2.95
Br: 0.5000 0.5000 0.7771  4 Co 2.70, 4 Pt 2.95

Results
SG: No. 123
D(E_F), states/eV/f.u.: 1.12
V, Å³/atom: 17.05

***

<C>
VASP calculation (SCAN) on CoPtBr2 at its PBEsol-relaxed geometry.

Lattice parameters (Å, degrees): 7.4392 7.4392 7.4392 28.14 28.14 28.14
Last column: nearest neighbours and their distance in Å.
Element x y z (fractional)
Co: 0.0000 0.0000 0.0000  3 Br 2.40, 3 Pt 2.44
Pt: 0.7254 0.7254 0.7254  3 Co 2.44, 3 Br 2.58
Br: 0.2781 0.2781 0.2781  3 Co 2.40
Br: 0.4628 0.4628 0.4628  3 Pt 2.58

Results
SG: No. 160
D(E_F), states/eV/f.u.: 0.41
V, Å³/atom: 20.23

***

Q: What are the energies relative to the best structure? A: <A> 0.937; <B> 0.782; <C> 0.000, in eV/atom.